Material: TlVTc2O
Method: DFT, GGA+U
State: optimized geometry

## Properties
**Calculated total energy**: -26.24 eV per cell
**SG**: P4/mmm, No. 123
**Theoretical density**: 6984 kg/m3

Lattice parameters (Å, degrees): 4.552 5.363 4.552 90.00 90.00 90.00
Site moments in Bohr magnetons follow the coordinates.
Sites, in units of the cell vectors:
Tc 0.500 0.000 0.000  2.25
Tc 0.000 0.000 0.500  2.12
Tl 0.000 0.500 0.000  0.00
V 0.000 0.000 0.000  -1.72
O 0.500 0.500 0.500  0.72